DFT (PBEsol) results for a relaxed structure of SiBi2O5.

Unit cell a=15.135 b=5.479 c=5.318 alpha=90.00 beta=90.00 gamma=90.00
Space group Cmc2_1 (No. 36)
One atom of each set of equivalent atoms:
Si1 0.000 0.180 0.000 x4
Bi1 0.165 0.278 0.551 x8
O1 0.000 0.032 0.273 x4
O2 0.092 0.326 0.975 x8
O3 0.249 0.007 0.784 x8

Crystal system: orthorhombic
Distance to the lowest polymorph of the same formula: 0.000 eV per formula unit
Total DFT energy (no corrections): -222.436 eV/cell
Uncorrected formation energy: -1881 meV/atom
Density: 7.92 g/cm3